A plane-wave DFT calculation with PBE was carried out for a geometry-optimized MgNiAs structure.

Calculated values
**Density of states at the Fermi level**: 0.457 states/eV per atom
**DFT formation energy**: -397 meV/atom

a b c (Å): 3.9808 3.9808 3.5868
angles (deg): 90.00 90.00 120.00
Atoms (fractional coordinates):
1 Mg 0.0000 0.0000 0.0000
2 Ni 0.3333 0.6667 0.5000
3 As 0.6667 0.3333 0.5000